Density functional theory data (GGA+U) for crystalline NaCr2IF at its relaxed geometry.

Summary:
The total magnetic moment is 10.7 μB/cell. As for the final energy: -4.499 eV/atom.

CIF file:
```
data_NaCr2IF
_chemical_formula_sum 'Na1 Cr2 I1 F1'
_cell_length_a 4.7634
_cell_length_b 4.7634
_cell_length_c 5.1842
_cell_angle_alpha 90.00
_cell_angle_beta 90.00
_cell_angle_gamma 90.00
_symmetry_space_group_name_H-M 'P 4/m m m'
_symmetry_Int_Tables_number 123
_symmetry_space_group_name_Hall '-P 4 2'
loop_
_atom_site_label
_atom_site_fract_x
_atom_site_fract_y
_atom_site_fract_z
Na1 0.0000 0.0000 0.0000
Cr1 0.0000 0.5000 0.5000
I1 0.5000 0.5000 0.0000
F1 0.0000 0.0000 0.5000
```